Below is Ba3MgPt at its PBEsol-relaxed geometry, with properties calculated at the SCAN level.

Geometry as CIF:
```
data_Ba3MgPt
_space_group_name_H-M_alt 'P m -3 m'
_space_group_IT_number 221
_space_group_name_Hall '-P 4 2 3'
_cell_length_a 6.104
_cell_length_b 6.104
_cell_length_c 6.104
_cell_angle_alpha 90.00
_cell_angle_beta 90.00
_cell_angle_gamma 90.00
loop_
_atom_site_label
_atom_site_fract_x
_atom_site_fract_y
_atom_site_fract_z
Ba1 0.000 0.000 0.500
Mg1 0.500 0.500 0.500
Pt1 0.000 0.000 0.000
```

- Uncorrected energy: -39.1609 eV per atom
- DFT formation energy: -0.397 eV/atom
- D(E_F): 3.2 states/eV/f.u.



Below is Er2Ti12Cu9O36 at its PBEsol-relaxed geometry, with properties calculated at the SCAN level.

Geometry as CIF:
```
data_Er2Ti12Cu9O36
_space_group_name_H-M_alt 'P -3'
_space_group_IT_number 147
_space_group_name_Hall '-P 3'
_cell_length_a 10.3787
_cell_length_b 10.3787
_cell_length_c 6.3724
_cell_angle_alpha 90.00
_cell_angle_beta 90.00
_cell_angle_gamma 120.00
loop_
_atom_site_label
_atom_site_fract_x
_atom_site_fract_y
_atom_site_fract_z
Er1 0.3333 0.6667 0.1707
Ti1 0.0000 0.0000 0.0000
Ti2 0.0000 0.5000 0.0000
Ti3 0.1581 0.8384 0.3378
Ti4 0.3333 0.6667 0.6596
Cu1 0.0000 0.5000 0.5000
Cu2 0.1689 0.3375 0.8403
O1 0.0153 0.8501 0.1691
O2 0.0455 0.7747 0.5917
O3 0.0762 0.6251 0.2507
O4 0.1203 0.4130 0.0879
O5 0.1775 0.6502 0.8558
O6 0.1923 0.5099 0.4815
```

- Uncorrected energy: -13.6979 eV per atom
- E_form (uncorrected): -154.0 eV per formula unit



Below is CdSiN2 at its PBEsol-relaxed geometry, with properties calculated at the SCAN level.

Geometry as CIF:
```
data_CdSiN2
_space_group_name_H-M_alt 'P n a 21'
_space_group_IT_number 33
_space_group_name_Hall 'P 2c -2n'
_cell_length_a 5.389
_cell_length_b 6.686
_cell_length_c 5.259
_cell_angle_alpha 90.00
_cell_angle_beta 90.00
_cell_angle_gamma 90.00
loop_
_atom_site_label
_atom_site_fract_x
_atom_site_fract_y
_atom_site_fract_z
Cd1 0.077 0.124 0.000
Si1 0.064 0.625 0.002
N1 0.039 0.582 0.330
N2 0.123 0.168 0.424
```

- Uncorrected energy: -15.5063 eV per atom
- E_form (uncorrected): -3.0 eV per formula unit
- D(E_F): 0.0 states/eV/f.u.



Below is ZrZnGaB2 at its PBEsol-relaxed geometry, with properties calculated at the SCAN level.

Geometry as CIF:
```
data_ZrZnGaB2
_space_group_name_H-M_alt 'P 4/m m m'
_space_group_IT_number 123
_space_group_name_Hall '-P 4 2'
_cell_length_a 4.369
_cell_length_b 4.369
_cell_length_c 5.211
_cell_angle_alpha 90.00
_cell_angle_beta 90.00
_cell_angle_gamma 90.00
loop_
_atom_site_label
_atom_site_fract_x
_atom_site_fract_y
_atom_site_fract_z
Zr1 0.000 0.000 0.000
Zn1 0.500 0.500 0.500
Ga1 0.000 0.000 0.500
B1 0.000 0.500 0.000
```

- Uncorrected energy: -13.5247 eV per atom
- DFT formation energy: 1.559 eV/atom
- D(E_F): 3.4 states/eV/f.u.



Question: The highest uncorrected energy belongs to which entry?
Answer: ZrZnGaB2



Question: Look up the uncorrected energy of the first one.
Answer: -39.1609 eV per atom



What did the fourth record say?
Below is ZrZnGaB2 at its PBEsol-relaxed geometry, with properties calculated at the SCAN level.

Geometry as CIF:
```
data_ZrZnGaB2
_space_group_name_H-M_alt 'P 4/m m m'
_space_group_IT_number 123
_space_group_name_Hall '-P 4 2'
_cell_length_a 4.369
_cell_length_b 4.369
_cell_length_c 5.211
_cell_angle_alpha 90.00
_cell_angle_beta 90.00
_cell_angle_gamma 90.00
loop_
_atom_site_label
_atom_site_fract_x
_atom_site_fract_y
_atom_site_fract_z
Zr1 0.000 0.000 0.000
Zn1 0.500 0.500 0.500
Ga1 0.000 0.000 0.500
B1 0.000 0.500 0.000
```

- Uncorrected energy: -13.5247 eV per atom
- DFT formation energy: 1.559 eV/atom
- D(E_F): 3.4 states/eV/f.u.



Question: What is the uncorrected energy in the fourth record?
Answer: -13.5247 eV per atom